The following is a DFT calculation (GGA-PBE) of crystalline In4HgPb12 at its relaxed geometry.

Output
calculated total energy = -3.08 eV/atom
E_form = 201 meV per atom
DOS(E_F) = 0.644 states/eV per atom
space group = No. 148

The structure in POSCAR format:
```
In4HgPb12
1.0
7.473 4.315 3.047
-7.473 4.315 3.047
0.000 -8.629 3.047
In Hg Pb
4 1 12
direct
0.000 0.000 0.000
0.000 0.500 0.500
0.500 0.000 0.500
0.500 0.500 0.000
0.500 0.500 0.500
0.001 0.650 0.851
0.149 0.299 0.650
0.149 0.999 0.350
0.299 0.650 0.149
0.350 0.149 0.999
0.350 0.851 0.701
0.650 0.149 0.299
0.650 0.851 0.001
0.701 0.350 0.851
0.851 0.001 0.650
0.851 0.701 0.350
0.999 0.350 0.149
```

The following is a DFT calculation (GGA-PBE) of crystalline MgGeRu at its relaxed geometry.

Output
calculated total energy = -5.38 eV/atom
E_form = -222 meV per atom
DOS(E_F) = 0.564 states/eV per atom
space group = No. 187

The structure in POSCAR format:
```
MgGeRu
1.0
4.218 0.000 0.000
-2.109 3.653 0.000
0.000 0.000 3.205
Mg Ge Ru
1 1 1
direct
0.000 0.000 0.000
0.667 0.333 0.500
0.333 0.667 0.500
```

The following is a DFT calculation (GGA-PBE) of crystalline Zr3C at its relaxed geometry.

Output
calculated total energy = -9.12 eV/atom
E_form = -398 meV per atom
DOS(E_F) = 0.870 states/eV per atom
space group = No. 166
energy above the most stable polymorph in this dataset = 0.0 meV per atom

The structure in POSCAR format:
```
Zr3C
1.0
1.644 0.949 8.078
-1.644 0.949 8.078
0.000 -1.898 8.078
Zr C
3 1
direct
0.000 0.000 0.000
0.221 0.221 0.221
0.779 0.779 0.779
0.500 0.500 0.500
```

The following is a DFT calculation (GGA-PBE) of crystalline TeS2Br2 at its relaxed geometry.

Output
ΔE_f (raw) = -0.83 eV/f.u.
calculated total energy = -3.11 eV/atom
DOS(E_F) = 0.000 states/eV per atom
space group = No. 2
energy above the most stable polymorph in this dataset = 0.0 meV per atom

The structure in POSCAR format:
```
TeS2Br2
1.0
7.343 0.000 0.000
-1.032 7.467 0.000
-1.184 -3.278 6.954
Te S Br
2 4 4
direct
0.010 0.157 0.314
0.990 0.843 0.686
0.129 0.594 0.787
0.261 0.444 0.594
0.739 0.556 0.406
0.871 0.406 0.213
0.230 0.843 0.468
0.257 0.195 0.097
0.743 0.805 0.903
0.770 0.157 0.532
```

The following is a DFT calculation (GGA-PBE) of crystalline Ba2La4Co at its relaxed geometry.

Output
calculated total energy = -4.24 eV/atom
E_form = 139 meV per atom
DOS(E_F) = 1.965 states/eV per atom
space group = No. 139

The structure in POSCAR format:
```
Ba2La4Co
1.0
-2.771 2.771 10.299
2.771 -2.771 10.299
2.771 2.771 -10.299
Ba La Co
2 4 1
direct
0.174 0.174 0.000
0.826 0.826 0.000
0.000 0.500 0.500
0.373 0.373 0.000
0.500 0.000 0.500
0.627 0.627 0.000
0.500 0.500 0.000
```

The following is a DFT calculation (GGA-PBE) of crystalline AcHg6Pb12 at its relaxed geometry.

Output
calculated total energy = -2.59 eV/atom
E_form = 69 meV per atom
DOS(E_F) = 0.564 states/eV per atom
space group = No. 166

The structure in POSCAR format:
```
AcHg6Pb12
1.0
7.361 4.250 3.240
-7.361 4.250 3.240
0.000 -8.500 3.240
Ac Hg Pb
1 6 12
direct
0.000 0.000 0.000
0.261 0.710 0.710
0.290 0.290 0.739
0.290 0.739 0.290
0.710 0.261 0.710
0.710 0.710 0.261
0.739 0.290 0.290
0.112 0.500 0.888
0.112 0.888 0.500
0.157 0.390 0.390
0.390 0.157 0.390
0.390 0.390 0.157
0.500 0.112 0.888
0.500 0.888 0.112
0.610 0.610 0.843
0.610 0.843 0.610
0.843 0.610 0.610
0.888 0.112 0.500
0.888 0.500 0.112
```

The following is a DFT calculation (GGA-PBE) of crystalline Ta2TlIr at its relaxed geometry.

Output
calculated total energy = -8.74 eV/atom
E_form = -2 meV per atom
DOS(E_F) = 0.670 states/eV per atom
space group = No. 123
energy above the most stable polymorph in this dataset = 0.0 meV per atom

The structure in POSCAR format:
```
Ta2TlIr
1.0
2.935 0.000 0.000
0.000 2.935 0.000
0.000 0.000 8.428
Ta Tl Ir
2 1 1
direct
0.000 0.000 0.223
0.000 0.000 0.777
0.500 0.500 0.500
0.500 0.500 0.000
```

The following is a DFT calculation (GGA-PBE) of crystalline DyMg2Cd2Hg2 at its relaxed geometry.

Output
calculated total energy = -1.67 eV/atom
E_form = -209 meV per atom
DOS(E_F) = 0.567 states/eV per atom
space group = No. 166

The structure in POSCAR format:
```
DyMg2Cd2Hg2
1.0
2.447 1.413 7.749
-2.447 1.413 7.749
0.000 -2.826 7.749
Dy Mg Cd Hg
1 2 2 2
direct
0.000 0.000 0.000
0.140 0.140 0.140
0.860 0.860 0.860
0.426 0.426 0.426
0.574 0.574 0.574
0.271 0.271 0.271
0.729 0.729 0.729
```

The following is a DFT calculation (GGA-PBE) of crystalline RbGaTeO6 at its relaxed geometry.

Output
ΔE_f (raw) = -9.50 eV/f.u.
calculated total energy = -5.15 eV/atom
DOS(E_F) = 0.435 states/eV per atom
space group = No. 149

The structure in POSCAR format:
```
RbGaTeO6
1.0
5.313 0.000 0.000
-2.657 4.602 0.000
0.000 0.000 6.346
Rb Ga Te O
1 1 1 6
direct
0.000 0.000 0.000
0.667 0.333 0.500
0.333 0.667 0.500
0.009 0.394 0.673
0.009 0.615 0.327
0.385 0.394 0.327
0.385 0.991 0.673
0.606 0.615 0.673
0.606 0.991 0.327
```

The following is a DFT calculation (GGA-PBE) of crystalline Hf2Ir3Ru3 at its relaxed geometry.

Output
calculated total energy = -9.81 eV/atom
E_form = -519 meV per atom
DOS(E_F) = 1.179 states/eV per atom
space group = No. 47

The structure in POSCAR format:
```
Hf2Ir3Ru3
1.0
3.938 0.000 0.000
0.000 3.952 0.000
0.000 0.000 7.974
Hf Ir Ru
2 3 3
direct
0.000 0.000 0.249
0.000 0.000 0.751
0.500 0.000 0.000
0.500 0.500 0.250
0.500 0.500 0.750
0.000 0.500 0.000
0.000 0.500 0.500
0.500 0.000 0.500
```

The following is a DFT calculation (GGA-PBE) of crystalline ZrMoIr2Rh at its relaxed geometry.

Output
calculated total energy = -7.63 eV/atom
E_form = 1261 meV per atom
DOS(E_F) = 1.769 states/eV per atom
space group = No. 123

The structure in POSCAR format:
```
ZrMoIr2Rh
1.0
4.779 0.000 0.000
0.000 4.779 0.000
0.000 0.000 4.515
Zr Mo Ir Rh
1 1 2 1
direct
0.000 0.000 0.000
0.500 0.500 0.000
0.000 0.500 0.500
0.500 0.000 0.500
0.500 0.500 0.500
```

The following is a DFT calculation (GGA-PBE) of crystalline Li3Ag3Sn2 at its relaxed geometry.

Output
calculated total energy = -2.97 eV/atom
E_form = -183 meV per atom
DOS(E_F) = 0.306 states/eV per atom
space group = No. 12
energy above the most stable polymorph in this dataset = 106.8 meV per atom

The structure in POSCAR format:
```
Li3Ag3Sn2
1.0
6.735 -2.411 0.000
6.735 2.411 0.000
-1.829 0.000 4.646
Li Ag Sn
3 3 2
direct
0.000 0.000 0.000
0.122 0.122 0.650
0.878 0.878 0.350
0.384 0.384 0.898
0.500 0.500 0.500
0.616 0.616 0.102
0.252 0.252 0.278
0.748 0.748 0.722
```

The following is a DFT calculation (GGA-PBE) of crystalline Nd3InIr at its relaxed geometry.

Output
calculated total energy = -5.48 eV/atom
E_form = -298 meV per atom
DOS(E_F) = 1.331 states/eV per atom
space group = No. 221
energy above the most stable polymorph in this dataset = 176.5 meV per atom

The structure in POSCAR format:
```
Nd3InIr
1.0
5.533 0.000 0.000
0.000 5.533 0.000
0.000 0.000 5.533
Nd In Ir
3 1 1
direct
0.000 0.000 0.500
0.000 0.500 0.000
0.500 0.000 0.000
0.500 0.500 0.500
0.000 0.000 0.000
```

The following is a DFT calculation (GGA-PBE) of crystalline YMgCu at its relaxed geometry.

Output
calculated total energy = -4.16 eV/atom
E_form = -109 meV per atom
DOS(E_F) = 0.777 states/eV per atom
space group = No. 26
energy above the most stable polymorph in this dataset = 110.0 meV per atom

The structure in POSCAR format:
```
YMgCu
1.0
3.526 0.000 0.000
0.000 10.122 0.000
0.000 0.000 7.554
Y Mg Cu
4 4 4
direct
0.000 0.046 0.000
0.000 0.370 0.605
0.000 0.630 0.105
0.000 0.954 0.500
0.500 0.184 0.327
0.500 0.334 0.984
0.500 0.666 0.484
0.500 0.816 0.827
0.500 0.134 0.706
0.500 0.445 0.305
0.500 0.555 0.805
0.500 0.866 0.206
```

The following is a DFT calculation (GGA-PBE) of crystalline Ho6GeAs3S2 at its relaxed geometry.

Output
ΔE_f (raw) = -19.19 eV/f.u.
calculated total energy = -6.12 eV/atom
DOS(E_F) = 0.171 states/eV per atom
space group = No. 12

The structure in POSCAR format:
```
Ho6GeAs3S2
1.0
8.801 -2.022 0.000
8.801 2.022 0.000
-1.840 0.000 7.881
Ho Ge As S
6 1 3 2
direct
0.001 0.001 0.249
0.334 0.334 0.416
0.334 0.334 0.918
0.666 0.666 0.082
0.666 0.666 0.584
0.999 0.999 0.751
0.500 0.500 0.000
0.168 0.168 0.831
0.500 0.500 0.500
0.832 0.832 0.169
0.169 0.169 0.338
0.831 0.831 0.662
```

The following is a DFT calculation (GGA-PBE) of crystalline Ac2PrPb at its relaxed geometry.

Output
calculated total energy = -4.45 eV/atom
E_form = -273 meV per atom
DOS(E_F) = 1.385 states/eV per atom
space group = No. 123
energy above the most stable polymorph in this dataset = 0.0 meV per atom

The structure in POSCAR format:
```
Ac2PrPb
1.0
5.283 0.000 0.000
0.000 5.283 0.000
0.000 0.000 5.203
Ac Pr Pb
2 1 1
direct
0.000 0.500 0.000
0.500 0.000 0.000
0.000 0.000 0.500
0.500 0.500 0.500
```

The following is a DFT calculation (GGA-PBE) of crystalline AlInOs2 at its relaxed geometry.

Output
calculated total energy = -6.84 eV/atom
E_form = 396 meV per atom
DOS(E_F) = 0.695 states/eV per atom
space group = No. 47
energy above the most stable polymorph in this dataset = 290.3 meV per atom

The structure in POSCAR format:
```
AlInOs2
1.0
2.989 0.000 0.000
0.000 4.372 0.000
0.000 0.000 4.914
Al In Os
1 1 2
direct
0.000 0.000 0.000
0.500 0.000 0.500
0.000 0.500 0.500
0.500 0.500 0.000
```

The following is a DFT calculation (GGA-PBE) of crystalline CaHoZr at its relaxed geometry.

Output
calculated total energy = -4.88 eV/atom
E_form = 159 meV per atom
DOS(E_F) = 1.079 states/eV per atom
space group = No. 107
energy above the most stable polymorph in this dataset = 30.5 meV per atom

The structure in POSCAR format:
```
CaHoZr
1.0
-1.714 1.714 7.759
1.714 -1.714 7.759
1.714 1.714 -7.759
Ca Ho Zr
1 1 1
direct
0.000 0.000 0.000
0.307 0.307 0.000
0.669 0.669 0.000
```

The following is a DFT calculation (GGA-PBE) of crystalline NdTiPt at its relaxed geometry.

Output
calculated total energy = -6.70 eV/atom
E_form = -470 meV per atom
DOS(E_F) = 1.305 states/eV per atom
space group = No. 123

The structure in POSCAR format:
```
NdTiPt
1.0
3.438 0.000 0.000
0.000 3.438 0.000
0.000 0.000 10.969
Nd Ti Pt
2 2 2
direct
0.000 0.000 0.170
0.000 0.000 0.830
0.500 0.500 0.379
0.500 0.500 0.621
0.000 0.000 0.500
0.500 0.500 0.000
```

The following is a DFT calculation (GGA-PBE) of crystalline Tb4Co2Br5 at its relaxed geometry.

Output
ΔE_f (raw) = -11.96 eV/f.u.
calculated total energy = -4.82 eV/atom
DOS(E_F) = 0.096 states/eV per atom
space group = No. 12
energy above the most stable polymorph in this dataset = 0.0 meV per atom

The structure in POSCAR format:
```
Tb4Co2Br5
1.0
10.661 -1.847 0.000
10.661 1.847 0.000
-1.943 0.000 8.192
Tb Co Br
4 2 5
direct
0.010 0.010 0.211
0.154 0.154 0.018
0.846 0.846 0.982
0.990 0.990 0.789
0.443 0.443 0.981
0.557 0.557 0.019
0.295 0.295 0.197
0.356 0.356 0.714
0.500 0.500 0.500
0.644 0.644 0.286
0.705 0.705 0.803
```

The following is a DFT calculation (GGA-PBE) of crystalline Sr2InSnPb at its relaxed geometry.

Output
calculated total energy = -3.21 eV/atom
E_form = -445 meV per atom
DOS(E_F) = 0.531 states/eV per atom
space group = No. 11

The structure in POSCAR format:
```
Sr2InSnPb
1.0
8.176 0.000 0.000
0.000 4.962 0.000
-2.551 0.000 8.401
Sr In Sn Pb
4 2 2 2
direct
0.047 0.250 0.187
0.394 0.750 0.626
0.606 0.250 0.374
0.953 0.750 0.813
0.337 0.250 0.947
0.663 0.750 0.053
0.329 0.750 0.160
0.671 0.250 0.840
0.106 0.250 0.587
0.894 0.750 0.413
```

The following is a DFT calculation (GGA-PBE) of crystalline Pm2NdHo2 at its relaxed geometry.

Output
calculated total energy = -4.19 eV/atom
E_form = 492 meV per atom
DOS(E_F) = 1.699 states/eV per atom
space group = No. 70
energy above the most stable polymorph in this dataset = 441.8 meV per atom

The structure in POSCAR format:
```
Pm2NdHo2
1.0
0.000 5.783 11.373
2.859 0.000 11.373
2.859 5.783 0.000
Pm Nd Ho
4 2 4
direct
0.039 0.711 0.039
0.289 0.961 0.289
0.711 0.039 0.711
0.961 0.289 0.961
0.375 0.375 0.375
0.625 0.625 0.625
0.000 0.500 0.500
0.500 0.000 0.500
0.500 0.500 0.000
0.500 0.500 0.500
```

The following is a DFT calculation (GGA-PBE) of crystalline Pm6DyTl at its relaxed geometry.

Output
calculated total energy = -4.52 eV/atom
E_form = -85 meV per atom
DOS(E_F) = 1.097 states/eV per atom
space group = No. 123

The structure in POSCAR format:
```
Pm6DyTl
1.0
4.997 0.000 0.000
0.000 4.997 0.000
0.000 0.000 10.307
Pm Dy Tl
6 1 1
direct
0.000 0.000 0.000
0.000 0.000 0.500
0.000 0.500 0.245
0.000 0.500 0.755
0.500 0.000 0.245
0.500 0.000 0.755
0.500 0.500 0.500
0.500 0.500 0.000
```

The following is a DFT calculation (GGA-PBE) of crystalline TeMo2Cl at its relaxed geometry.

Output
ΔE_f (raw) = 2.38 eV/f.u.
calculated total energy = -6.07 eV/atom
DOS(E_F) = 1.144 states/eV per atom
space group = No. 225
energy above the most stable polymorph in this dataset = 687.4 meV per atom

The structure in POSCAR format:
```
TeMo2Cl
1.0
0.000 3.254 3.254
3.254 0.000 3.254
3.254 3.254 0.000
Te Mo Cl
1 2 1
direct
0.000 0.000 0.000
0.250 0.250 0.250
0.750 0.750 0.750
0.500 0.500 0.500
```

The following is a DFT calculation (GGA-PBE) of crystalline Cs2BiSCl3 at its relaxed geometry.

Output
ΔE_f (raw) = -9.44 eV/f.u.
calculated total energy = -3.53 eV/atom
DOS(E_F) = 0.093 states/eV per atom
space group = No. 71

The structure in POSCAR format:
```
Cs2BiSCl3
1.0
-2.708 2.803 8.768
2.708 -2.803 8.768
2.708 2.803 -8.768
Cs Bi S Cl
2 1 1 3
direct
0.139 0.139 0.000
0.861 0.861 0.000
0.500 0.500 0.000
0.500 0.000 0.500
0.000 0.500 0.500
0.341 0.341 0.000
0.659 0.659 0.000
```